[1]
The following is a DFT calculation (PBE-GGA) of crystalline NdEr5Ir6 at its relaxed geometry.

Properties
Calculated formation energy = -0.82 eV per atom
Space-group type = Cmmm (65)
Density = 14.76 g cm⁻³
Magnetic moment = 0.000 μB per atom

Lattice parameters (Å, degrees): 7.484 7.484 7.157 90.00 90.00 143.20
Fractional positions:
Nd 0.000 0.000 0.000
Er 0.000 0.000 0.500
Er 0.332 0.668 0.000
Er 0.333 0.667 0.500
Er 0.667 0.333 0.500
Er 0.668 0.332 0.000
Ir 0.169 0.831 0.254
Ir 0.169 0.831 0.746
Ir 0.500 0.500 0.259
Ir 0.500 0.500 0.741
Ir 0.831 0.169 0.254
Ir 0.831 0.169 0.746

[2]
The following is a DFT calculation (PBE-GGA) of crystalline NdEr3Ir2 at its relaxed geometry.

Properties
Calculated formation energy = -0.58 eV per atom
Space-group type = C2/m (12)
Density = 11.57 g cm⁻³
Magnetic moment = 0.000 μB per atom

Lattice parameters (Å, degrees): 7.680 7.680 8.130 96.48 96.48 38.42
Fractional positions:
Nd 0.154 0.154 0.299
Nd 0.846 0.846 0.701
Er 0.071 0.071 0.824
Er 0.325 0.325 0.984
Er 0.385 0.385 0.438
Er 0.615 0.615 0.562
Er 0.675 0.675 0.016
Er 0.929 0.929 0.176
Ir 0.227 0.227 0.658
Ir 0.478 0.478 0.786
Ir 0.522 0.522 0.214
Ir 0.773 0.773 0.342

[3]
The following is a DFT calculation (PBE-GGA) of crystalline NdErIr at its relaxed geometry.

Properties
Calculated formation energy = -0.52 eV per atom
Space-group type = P3m1 (156)
Density = 8.97 g cm⁻³
Magnetic moment = 0.000 μB per atom
Energy relative to the lowest polymorph listed for this composition = 0.103 eV per atom

Lattice parameters (Å, degrees): 4.159 4.159 6.220 90.00 90.00 120.00
Fractional positions:
Nd 0.000 0.000 0.000
Er 0.667 0.333 0.542
Ir 0.333 0.667 0.756

> Number 1 is which compound?

NdEr5Ir6

> What is the formula in the second record?

NdEr3Ir2